A plane-wave DFT calculation with PBE-GGA was carried out for a relaxed LaEr2Tc crystal.

Lattice parameters (Å, degrees): 3.426 3.426 32.780 90.00 90.00 120.00
Positions (direct):
La (0.000, 0.000, 0.000)
La (0.333, 0.667, 0.667)
La (0.667, 0.333, 0.333)
Er (0.000, 0.000, 0.106)
Er (0.000, 0.000, 0.894)
Er (0.333, 0.667, 0.561)
Er (0.333, 0.667, 0.773)
Er (0.667, 0.333, 0.227)
Er (0.667, 0.333, 0.439)
Tc (0.000, 0.000, 0.500)
Tc (0.333, 0.667, 0.167)
Tc (0.667, 0.333, 0.833)

Results
Formation energy from the elements (eV/atom): 0.21
M_tot (μB per formula unit): 0.0
Uncorrected energy (eV per atom): -5.90

A plane-wave DFT calculation with PBE-GGA was carried out for a relaxed K2TlSiF6 crystal.

Lattice parameters (Å, degrees): 10.849 10.849 10.849 35.94 35.94 35.94
Positions (direct):
K (0.140, 0.140, 0.140)
K (0.261, 0.261, 0.261)
K (0.739, 0.739, 0.739)
K (0.860, 0.860, 0.860)
Tl (0.397, 0.397, 0.397)
Tl (0.603, 0.603, 0.603)
Si (0.000, 0.000, 0.000)
Si (0.500, 0.500, 0.500)
F (0.139, 0.623, 0.623)
F (0.153, 0.153, 0.794)
F (0.153, 0.794, 0.153)
F (0.206, 0.847, 0.847)
F (0.377, 0.377, 0.861)
F (0.377, 0.861, 0.377)
F (0.623, 0.139, 0.623)
F (0.623, 0.623, 0.139)
F (0.794, 0.153, 0.153)
F (0.847, 0.206, 0.847)
F (0.847, 0.847, 0.206)
F (0.861, 0.377, 0.377)

Results
E_form (uncorrected) (eV/atom): -2.517
M_tot (μB per formula unit): 0.0
Uncorrected energy (eV per atom): -4.64

A plane-wave DFT calculation with PBE-GGA was carried out for a relaxed In2TeCl crystal.

Lattice parameters (Å, degrees): 4.125 4.556 6.781 90.00 90.00 90.00
Positions (direct):
In (0.000, 0.000, 0.000)
In (0.000, 0.500, 0.500)
Te (0.500, 0.000, 0.500)
Cl (0.500, 0.500, 0.000)

Results
E_form (uncorrected) (eV/atom): -0.394
M_tot (μB per formula unit): 0.0
Uncorrected energy (eV per atom): -3.01

A plane-wave DFT calculation with PBE-GGA was carried out for a relaxed Cs2KTl2 crystal.

Lattice parameters (Å, degrees): 11.291 11.291 4.230 90.00 90.00 90.00
Positions (direct):
Cs (0.142, 0.358, 0.000)
Cs (0.358, 0.858, 0.000)
Cs (0.642, 0.142, 0.000)
Cs (0.858, 0.642, 0.000)
K (0.000, 0.000, 0.000)
K (0.500, 0.500, 0.000)
Tl (0.153, 0.653, 0.500)
Tl (0.347, 0.153, 0.500)
Tl (0.653, 0.847, 0.500)
Tl (0.847, 0.347, 0.500)

Results
Formation energy from the elements (eV/atom): 0.09
M_tot (μB per formula unit): 0.0
Uncorrected energy (eV per atom): -1.41

A plane-wave DFT calculation with PBE-GGA was carried out for a relaxed NdPuBiN crystal.

Lattice parameters (Å, degrees): 4.727 4.727 9.076 90.00 90.00 90.00
Positions (direct):
Nd (0.250, 0.750, 0.000)
Nd (0.750, 0.250, 0.000)
Pu (0.250, 0.250, 0.326)
Pu (0.750, 0.750, 0.674)
Bi (0.250, 0.250, 0.691)
Bi (0.750, 0.750, 0.309)
N (0.250, 0.250, 0.092)
N (0.750, 0.750, 0.908)

Results
E_form (uncorrected) (eV/atom): -0.947
M_tot (μB per formula unit): 4.9
Uncorrected energy (eV per atom): -8.77

A plane-wave DFT calculation with PBE-GGA was carried out for a relaxed KHfP2N crystal.

Lattice parameters (Å, degrees): 5.175 5.175 5.285 90.00 90.00 90.00
Positions (direct):
K (0.000, 0.000, 0.000)
Hf (0.000, 0.000, 0.500)
P (0.000, 0.500, 0.000)
P (0.500, 0.000, 0.000)
N (0.500, 0.500, 0.500)

Results
E_form (uncorrected) (eV/atom): 3.040
M_tot (μB per formula unit): 1.6
Uncorrected energy (eV per atom): -3.00

A plane-wave DFT calculation with PBE-GGA was carried out for a relaxed Ca3Y2Cd3 crystal.

Lattice parameters (Å, degrees): 8.840 8.840 3.468 90.00 90.00 120.00
Positions (direct):
Ca (0.000, 0.241, 0.000)
Ca (0.241, 0.000, 0.000)
Ca (0.759, 0.759, 0.000)
Y (0.333, 0.667, 0.000)
Y (0.667, 0.333, 0.000)
Cd (0.000, 0.614, 0.500)
Cd (0.386, 0.386, 0.500)
Cd (0.614, 0.000, 0.500)

Results
Formation energy from the elements (eV/atom): -0.20
M_tot (μB per formula unit): 0.0
Uncorrected energy (eV per atom): -2.91

A plane-wave DFT calculation with PBE-GGA was carried out for a relaxed ScMn2AgC crystal.

Lattice parameters (Å, degrees): 3.909 3.909 4.480 90.00 90.00 90.00
Positions (direct):
Sc (0.000, 0.000, 0.000)
Mn (0.000, 0.500, 0.500)
Mn (0.500, 0.000, 0.500)
Ag (0.500, 0.500, 0.000)
C (0.000, 0.000, 0.500)

Results
Formation energy from the elements (eV/atom): -0.05
M_tot (μB per formula unit): 3.4
Uncorrected energy (eV per atom): -7.40

A plane-wave DFT calculation with PBE-GGA was carried out for a relaxed Hf2Pt2Se crystal.

Lattice parameters (Å, degrees): 7.357 7.357 3.609 90.00 90.00 90.00
Positions (direct):
Hf (0.166, 0.334, 0.000)
Hf (0.334, 0.834, 0.000)
Hf (0.666, 0.166, 0.000)
Hf (0.834, 0.666, 0.000)
Pt (0.131, 0.631, 0.500)
Pt (0.369, 0.131, 0.500)
Pt (0.631, 0.869, 0.500)
Pt (0.869, 0.369, 0.500)
Se (0.000, 0.000, 0.000)
Se (0.500, 0.500, 0.000)

Results
E_form (uncorrected) (eV/atom): -0.919
M_tot (μB per formula unit): 0.0
Uncorrected energy (eV per atom): -8.01

A plane-wave DFT calculation with PBE-GGA was carried out for a relaxed CuNi2W crystal.

Lattice parameters (Å, degrees): 5.828 5.828 5.828 90.00 90.00 90.00
Positions (direct):
Cu (0.000, 0.000, 0.000)
Cu (0.000, 0.500, 0.500)
Cu (0.500, 0.000, 0.500)
Cu (0.500, 0.500, 0.000)
Ni (0.000, 0.000, 0.500)
Ni (0.000, 0.500, 0.000)
Ni (0.250, 0.250, 0.750)
Ni (0.250, 0.750, 0.250)
Ni (0.500, 0.000, 0.000)
Ni (0.500, 0.500, 0.500)
Ni (0.750, 0.250, 0.250)
Ni (0.750, 0.750, 0.750)
W (0.250, 0.250, 0.250)
W (0.250, 0.750, 0.750)
W (0.750, 0.250, 0.750)
W (0.750, 0.750, 0.250)

Results
Formation energy from the elements (eV/atom): 0.20
M_tot (μB per formula unit): 0.0
Uncorrected energy (eV per atom): -6.96